(1)
# Sr2HgIr

Sr2HgIr at its PBEsol-relaxed geometry (SCAN, the Alexandria database).

E_tot = -183.87 eV/cell
energy of formation = -0.0128 eV/atom

Lattice parameters (Å, degrees): 3.6629 3.6629 8.6883 90.00 90.00 90.00
Space group P4mm (No. 99)
Inequivalent atoms, fractional coordinates:
Sr 0.0000 0.0000 0.0000 x1
Sr 0.5000 0.5000 0.4316 x1
Hg 0.0000 0.0000 0.6478 x1
Ir 0.5000 0.5000 0.7879 x1

---

(2)
# KMnSi2

KMnSi2 at its PBEsol-relaxed geometry (SCAN, the Alexandria database).

E_tot = -89.42 eV/cell
formation energy without anion corrections = 0.48 eV per atom
energy above the lowest structure with this stoichiometry = 366 meV/atom

Lattice parameters (Å, degrees): 2.6033 6.0558 10.1829 90.00 90.00 90.00
Space group Immm (No. 71)
Inequivalent atoms, fractional coordinates:
K 0.0000 0.0000 0.0000 x2
Mn 0.0000 0.0000 0.5000 x2
Si 0.0000 0.5000 0.1931 x4

---

(3)
# KTe2W

KTe2W at its PBEsol-relaxed geometry (SCAN, the Alexandria database).

E_tot = -607.58 eV/cell
formation energy without anion corrections = 0.16 eV per atom

Lattice parameters (Å, degrees): 8.0341 8.0341 8.4127 90.00 90.00 90.00
Space group I-42d (No. 122)
Inequivalent atoms, fractional coordinates:
K 0.0000 0.0000 0.0000 x4
Te 0.1585 0.7500 0.6250 x8
W 0.0000 0.0000 0.5000 x4